1.
Cr2CoPt: optimized geometry, GGA-PBE.

Cell lengths 3.720, 3.720, 7.338 Å; angles 90.00, 90.00, 90.00 degrees
Atoms (fractional coordinates):
1 Cr 0.000 0.000 0.000
2 Cr 0.000 0.500 0.250
3 Cr 0.500 0.000 0.750
4 Cr 0.500 0.500 0.500
5 Co 0.000 0.500 0.750
6 Co 0.500 0.000 0.250
7 Pt 0.000 0.000 0.500
8 Pt 0.500 0.500 0.000

## Properties
Calculated volume ... 50.8 Å³/f.u.
Energy relative to the elements ... -0.049 eV/atom
Crystal system ... tetragonal
Total magnetic moment ... 0.3 μB per formula unit
Space-group type ... I-4m2

2.
CrCoPt2: optimized geometry, GGA-PBE.

Cell lengths 2.690, 2.690, 26.065 Å; angles 90.00, 90.00, 120.00 degrees
Atoms (fractional coordinates):
1 Cr 0.000 0.000 0.000
2 Cr 0.333 0.667 0.667
3 Cr 0.667 0.333 0.333
4 Co 0.000 0.000 0.739
5 Co 0.333 0.667 0.406
6 Co 0.667 0.333 0.072
7 Pt 0.000 0.000 0.251
8 Pt 0.000 0.000 0.489
9 Pt 0.333 0.667 0.156
10 Pt 0.333 0.667 0.918
11 Pt 0.667 0.333 0.584
12 Pt 0.667 0.333 0.822

## Properties
Calculated volume ... 54.5 Å³/f.u.
Energy relative to the elements ... -0.020 eV/atom
Crystal system ... trigonal
Total magnetic moment ... 0.5 μB per formula unit
Space-group type ... R3m